Record 1
VASP calculation (GGA-PBE) on a relaxed AlReAu2 crystal.

a b c (Å): 6.397 6.397 6.397
angles (deg): 90.00 90.00 90.00
Space group F-43m (No. 216)
Unique sites:
Al 0.000 0.000 0.000 [4 per cell]
Re 0.250 0.250 0.250 [4 per cell]
Au 0.000 0.000 0.500 [4 per cell]
Au 0.250 0.250 0.750 [4 per cell]

Results
crystal system = cubic

=====

Record 2
VASP calculation (GGA-PBE) on a relaxed AlRe2Au crystal.

a b c (Å): 9.065 2.824 4.910
angles (deg): 90.00 98.55 90.00
Space group Cm (No. 8)
Unique sites:
Al 0.000 0.000 0.000 [2 per cell]
Re 0.008 0.500 0.520 [2 per cell]
Re 0.253 0.000 0.712 [2 per cell]
Au 0.253 0.500 0.212 [2 per cell]

Results
crystal system = monoclinic

=====

Record 3
VASP calculation (GGA-PBE) on a relaxed AlReAu2 crystal.

a b c (Å): 4.094 4.094 7.820
angles (deg): 90.00 90.00 90.00
Space group I-4m2 (No. 119)
Unique sites:
Al 0.000 0.000 0.000 [2 per cell]
Re 0.000 0.500 0.250 [2 per cell]
Au 0.000 0.000 0.500 [2 per cell]
Au 0.000 0.500 0.750 [2 per cell]

Results
crystal system = tetragonal

=====

Record 4
VASP calculation (GGA-PBE) on a relaxed AlRe2Au crystal.

a b c (Å): 3.810 3.810 4.261
angles (deg): 90.00 90.00 90.00
Space group P4/mmm (No. 123)
Unique sites:
Al 0.000 0.000 0.000 [1 per cell]
Re 0.000 0.500 0.500 [2 per cell]
Au 0.500 0.500 0.000 [1 per cell]

Results
crystal system = tetragonal

=====

Record 5
VASP calculation (GGA-PBE) on a relaxed Al2ReAu crystal.

a b c (Å): 3.350 3.350 5.578
angles (deg): 90.00 90.00 90.00
Space group P4mm (No. 99)
Unique sites:
Al 0.000 0.000 0.000 [1 per cell]
Al 0.500 0.500 0.280 [1 per cell]
Re 0.500 0.500 0.814 [1 per cell]
Au 0.000 0.000 0.495 [1 per cell]

Results
excess energy over the best structure of this formula in the dataset = 211 meV/atom
crystal system = tetragonal

=====

Record 6
VASP calculation (GGA-PBE) on a relaxed AlReAu2 crystal.

a b c (Å): 4.006 4.006 8.141
angles (deg): 90.00 90.00 90.00
Space group I4/mmm (No. 139)
Unique sites:
Al 0.000 0.000 0.000 [2 per cell]
Re 0.000 0.000 0.500 [2 per cell]
Au 0.000 0.500 0.250 [4 per cell]

Results
crystal system = tetragonal

=====

Uncorrected energy, record by record: -5.32; -7.84; -5.35; -7.69; -5.85; -5.34 eV per atom